Density functional theory data (GGA-PBE) for TbTm2AlC after structural relaxation.

Values from the calculation:
The calculated total energy is -5.73 eV/atom. As for the formation energy: -420 meV per atom. The value obtained for the magnetization is 0.0 μB/f.u.

a = 4.802 Å, b = 4.802 Å, c = 4.914 Å
α = 90.00°, β = 90.00°, γ = 90.00°
Space group P4/mmm (No. 123)
Asymmetric unit:
Tb 0.000 0.000 0.000 x1
Tm 0.000 0.500 0.500 x2
Al 0.500 0.500 0.000 x1
C 0.000 0.000 0.500 x1


Density functional theory data (GGA-PBE) for Tb2TmAlC after structural relaxation.

Values from the calculation:
The calculated total energy is -5.73 eV/atom. As for the formation energy: -390 meV per atom. The value obtained for the magnetization is 0.0 μB/f.u.

a = 4.918 Å, b = 4.918 Å, c = 4.798 Å
α = 90.00°, β = 90.00°, γ = 90.00°
Space group P4/mmm (No. 123)
Asymmetric unit:
Tb 0.000 0.500 0.000 x2
Tm 0.000 0.000 0.500 x1
Al 0.500 0.500 0.500 x1
C 0.000 0.000 0.000 x1


Density functional theory data (GGA-PBE) for Tb2YAlC after structural relaxation.

Values from the calculation:
The calculated total energy is -6.12 eV/atom. As for the formation energy: -382 meV per atom. The value obtained for the magnetization is 0.0 μB/f.u.

a = 4.917 Å, b = 4.917 Å, c = 4.890 Å
α = 90.00°, β = 90.00°, γ = 90.00°
Space group P4/mmm (No. 123)
Asymmetric unit:
Tb 0.000 0.500 0.000 x2
Y 0.000 0.000 0.500 x1
Al 0.500 0.500 0.500 x1
C 0.000 0.000 0.000 x1


Density functional theory data (GGA-PBE) for AlTc3C after structural relaxation.

Values from the calculation:
The calculated total energy is -8.65 eV/atom. As for the formation energy: 161 meV per atom. The value obtained for the magnetization is 0.0 μB/f.u.

a = 11.184 Å, b = 8.692 Å, c = 5.626 Å
α = 90.00°, β = 90.00°, γ = 90.00°
Space group Cmcm (No. 63)
Asymmetric unit:
Al 0.000 0.010 0.250 x4
Al 0.000 0.326 0.250 x4
Tc 0.142 0.500 0.000 x8
Tc 0.151 0.171 0.517 x16
C 0.216 0.353 0.750 x8


Density functional theory data (GGA-PBE) for AlTcC2 after structural relaxation.

Values from the calculation:
The calculated total energy is -7.69 eV/atom. As for the formation energy: 448 meV per atom. The value obtained for the magnetization is 0.0 μB/f.u.

a = 4.663 Å, b = 4.663 Å, c = 9.150 Å
α = 90.00°, β = 90.00°, γ = 90.00°
Space group I-42d (No. 122)
Asymmetric unit:
Al 0.000 0.000 0.000 x4
Tc 0.000 0.000 0.500 x4
C 0.237 0.250 0.625 x8


Density functional theory data (GGA-PBE) for AlTc3C after structural relaxation.

Values from the calculation:
The calculated total energy is -8.82 eV/atom. As for the formation energy: -8 meV per atom. The value obtained for the magnetization is 0.0 μB/f.u.

a = 4.066 Å, b = 4.066 Å, c = 4.066 Å
α = 90.00°, β = 90.00°, γ = 90.00°
Space group Pm-3m (No. 221)
Asymmetric unit:
Al 0.000 0.000 0.000 x1
Tc 0.000 0.500 0.500 x3
C 0.500 0.500 0.500 x1


Density functional theory data (GGA-PBE) for AlTcC3 after structural relaxation.

Values from the calculation:
The calculated total energy is -6.51 eV/atom. As for the formation energy: 1842 meV per atom. The value obtained for the magnetization is 0.0 μB/f.u.

a = 4.022 Å, b = 4.022 Å, c = 4.022 Å
α = 90.00°, β = 90.00°, γ = 90.00°
Space group Pm-3m (No. 221)
Asymmetric unit:
Al 0.000 0.000 0.000 x1
Tc 0.500 0.500 0.500 x1
C 0.000 0.500 0.500 x3


Density functional theory data (GGA-PBE) for AlTcC after structural relaxation.

Values from the calculation:
The calculated total energy is -7.64 eV/atom. As for the formation energy: 138 meV per atom. The value obtained for the magnetization is 0.0 μB/f.u.

a = 7.246 Å, b = 2.921 Å, c = 7.923 Å
α = 90.00°, β = 106.84°, γ = 90.00°
Space group C2/m (No. 12)
Asymmetric unit:
Al 0.170 0.000 0.348 x4
Tc 0.115 0.500 0.879 x4
C 0.192 0.500 0.154 x4